The following is a DFT calculation (PBE) of an optimized crystal structure of Tl6SbH2.

Values from the calculation:
SG: C2/m (12)
Raw total energy in eV/atom: -2.5382

Unit cell a=3.4862 b=9.8361 c=9.8360 alpha=50.96 beta=79.50 gamma=79.50
With the nearest neighbours (Å) after each atom.
Sites, in units of the cell vectors:
Tl (0.1674, 0.5789, 0.0857)  1 H 2.14
Tl (0.8326, 0.9143, 0.4211)  1 H 2.14
Tl (0.8326, 0.4211, 0.9143)  1 H 2.14
Tl (0.5000, 0.6848, 0.3152)  7 Tl 3.13-3.49, 2 Sb 3.19, 4 H 3.39-3.40
Tl (0.1674, 0.0857, 0.5789)  1 H 2.14
Tl (0.5000, 0.3152, 0.6848)  7 Tl 3.13-3.49, 2 Sb 3.19, 4 H 3.39-3.40
Sb (0.0000, 0.0000, 0.0000)  4 Tl 3.19, 2 Sb 3.49
H (0.1456, 0.3587, 0.3587)  2 Tl 2.14
H (0.8544, 0.6413, 0.6413)  2 Tl 2.14

The following is a DFT calculation (PBE) of an optimized crystal structure of Cs3KAu3.

Values from the calculation:
SG: Pm-3n (223)
Calculated formation energy in eV/atom: -0.1173
Raw total energy in eV/atom: -2.0445
E above lowest polymorph in meV per atom: 147

Unit cell a=9.9237 b=9.9237 c=9.9237 alpha=90.00 beta=90.00 gamma=90.00
With the nearest neighbours (Å) after each atom.
Sites, in units of the cell vectors:
Cs (0.2500, 0.0000, 0.5000)  4 Au 3.51
Cs (0.0000, 0.5000, 0.2500)  4 Au 3.51
Cs (0.5000, 0.7500, 0.0000)  4 Au 3.51
Cs (0.7500, 0.0000, 0.5000)  4 Au 3.51
Cs (0.0000, 0.5000, 0.7500)  4 Au 3.51
Cs (0.5000, 0.2500, 0.0000)  4 Au 3.51
K (0.5000, 0.5000, 0.5000)  12 Cs 5.55, 12 Au 5.55
K (0.0000, 0.0000, 0.0000)  12 Cs 5.55, 12 Au 5.55
Au (0.0000, 0.2500, 0.5000)  4 Cs 3.51
Au (0.0000, 0.7500, 0.5000)  4 Cs 3.51
Au (0.5000, 0.0000, 0.7500)  4 Cs 3.51
Au (0.7500, 0.5000, 0.0000)  4 Cs 3.51
Au (0.5000, 0.0000, 0.2500)  4 Cs 3.51
Au (0.2500, 0.5000, 0.0000)  4 Cs 3.51

no.,density of states at the Fermi level (states/eV/f.u.)
1,3.2
2,3.8